# LiFeF4 (PBE+U, relaxed)
# * volume: 11.6 Å³ per atom
# * E above lowest polymorph: 0.034 eV/atom
data_LiFeF4
_chemical_formula_sum 'Li4 Fe4 F16'
_symmetry_space_group_name_H-M 'P 1'
_symmetry_Int_Tables_number 1
_symmetry_space_group_name_Hall 'P 1'
_cell_length_a 4.627
_cell_length_b 5.022
_cell_length_c 11.949
_cell_angle_alpha 90.00
_cell_angle_beta 90.00
_cell_angle_gamma 90.00
loop_
_atom_site_label
_atom_site_fract_x
_atom_site_fract_y
_atom_site_fract_z
F1 0.768 0.414 0.814
F2 0.770 0.922 0.949
F3 0.230 0.078 0.051
F4 0.732 0.914 0.686
F5 0.768 0.914 0.186
F6 0.770 0.422 0.051
F7 0.730 0.422 0.551
F8 0.268 0.586 0.686
F9 0.268 0.086 0.314
F10 0.232 0.586 0.186
F11 0.230 0.578 0.949
F12 0.270 0.578 0.449
F13 0.270 0.078 0.551
F14 0.232 0.086 0.814
F15 0.732 0.414 0.314
F16 0.730 0.922 0.449
Li1 0.500 0.750 0.824
Li2 0.000 0.750 0.324
Li3 0.500 0.250 0.176
Li4 0.000 0.250 0.676
Fe1 0.500 0.250 0.423
Fe2 0.000 0.250 0.923
Fe3 0.000 0.750 0.077
Fe4 0.500 0.750 0.577